# 1
This record from Alexandria describes a crystal of ReIrSe2 relaxed with PBEsol. The functional is meta-GGA SCAN.

```
ReIrSe2
1.0
-1.887 1.887 4.342
1.887 -1.887 4.342
1.887 1.887 -4.342
Re Ir Se
1 1 2
Cartesian
0.000 0.000 0.000
1.887 0.000 2.171
0.000 0.000 4.342
0.000 1.887 2.171
```

energy	-44.593	eV/atom
symmetry	I-4m2, No. 119
crystal system	tetragonal
ρ	14.40	Mg/m³
ΔE_f (raw)	96.00	kJ per mole of atoms

---

# 2
This record from Alexandria describes a crystal of ReIrSe2 relaxed with PBEsol. The functional is meta-GGA SCAN.

```
ReIrSe2
1.0
1.592 0.919 8.035
-1.592 0.919 8.035
0.000 -1.838 8.035
Re Ir Se
1 1 2
Cartesian
0.000 0.000 0.000
0.000 0.000 12.052
0.000 0.000 2.346
0.000 0.000 21.759
```

energy	-44.842	eV/atom
symmetry	R-3m, No. 166
crystal system	trigonal
ρ	12.63	Mg/m³
ΔE_f (raw)	72.04	kJ per mole of atoms

---

# 3
This record from Alexandria describes a crystal of Re2IrSe relaxed with PBEsol. The functional is meta-GGA SCAN.

```
Re2IrSe
1.0
1.413 0.816 8.583
-1.413 0.816 8.583
0.000 -1.631 8.583
Re Ir Se
2 1 1
Cartesian
0.000 0.000 0.000
0.000 0.000 6.402
0.000 0.000 12.852
0.000 0.000 19.178
```

energy	-58.037	eV/atom
symmetry	R3m, No. 160
crystal system	trigonal
ρ	18.01	Mg/m³
ΔE_f (raw)	29.54	kJ per mole of atoms

---

# 4
This record from Alexandria describes a crystal of ReIrSe2 relaxed with PBEsol. The functional is meta-GGA SCAN.

```
ReIrSe2
1.0
1.482 0.856 9.258
-1.482 0.856 9.258
0.000 -1.711 9.258
Re Ir Se
1 1 2
Cartesian
0.000 0.000 0.000
0.000 0.000 7.070
0.000 0.000 14.438
0.000 0.000 20.303
```

energy	-45.325	eV/atom
symmetry	R3m, No. 160
crystal system	trigonal
ρ	12.65	Mg/m³
ΔE_f (raw)	25.40	kJ per mole of atoms

---

# 5
This record from Alexandria describes a crystal of Re2IrSe relaxed with PBEsol. The functional is meta-GGA SCAN.

```
Re2IrSe
1.0
2.602 -4.063 0.000
2.602 4.063 0.000
-0.112 0.000 2.825
Re Ir Se
2 1 1
Cartesian
1.301 2.032 0.000
1.301 -2.032 0.000
-0.056 0.000 1.413
2.546 0.000 1.413
```

energy	-57.614	eV/atom
symmetry	C2/m, No. 12
crystal system	monoclinic
ρ	17.89	Mg/m³
ΔE_f (raw)	70.33	kJ per mole of atoms

---

# 6
This record from Alexandria describes a crystal of Re2IrSe relaxed with PBEsol. The functional is meta-GGA SCAN.

```
Re2IrSe
1.0
2.828 0.000 0.000
0.000 4.542 0.000
0.000 0.000 4.675
Re Ir Se
2 1 1
Cartesian
0.000 0.000 0.000
1.414 2.271 0.000
0.000 2.271 2.338
1.414 0.000 2.338
```

energy	-57.594	eV/atom
symmetry	Pmmm, No. 47
crystal system	orthorhombic
ρ	17.80	Mg/m³
ΔE_f (raw)	72.24	kJ per mole of atoms

---

# 7
This record from Alexandria describes a crystal of ReIr2Se relaxed with PBEsol. The functional is meta-GGA SCAN.

```
ReIr2Se
1.0
-1.963 1.963 3.838
1.963 -1.963 3.838
1.963 1.963 -3.838
Re Ir Se
1 2 1
Cartesian
0.000 0.000 0.000
1.963 0.000 1.919
0.000 1.963 1.919
0.000 0.000 3.838
```

energy	-57.699	eV/atom
symmetry	I4/mmm, No. 139
crystal system	tetragonal
ρ	18.24	Mg/m³
ΔE_f (raw)	62.15	kJ per mole of atoms

---

# 8
This record from Alexandria describes a crystal of ReIr2Se relaxed with PBEsol. The functional is meta-GGA SCAN.

```
ReIr2Se
1.0
2.739 -3.867 0.000
2.739 3.867 0.000
0.000 0.000 2.787
Re Ir Se
1 2 1
Cartesian
0.000 0.000 0.000
1.369 1.934 1.393
1.369 -1.934 1.393
2.739 0.000 0.000
```

energy	-57.839	eV/atom
symmetry	Cmmm, No. 65
crystal system	orthorhombic
ρ	18.27	Mg/m³
ΔE_f (raw)	48.66	kJ per mole of atoms

---

# 9
This record from Alexandria describes a crystal of Re2IrSe relaxed with PBEsol. The functional is meta-GGA SCAN.

```
Re2IrSe
1.0
4.509 0.000 0.000
0.000 4.509 0.000
0.000 0.000 2.876
Re Ir Se
2 1 1
Cartesian
0.000 2.255 0.000
2.255 0.000 0.000
0.000 0.000 1.438
2.255 2.255 1.438
```

energy	-57.755	eV/atom
symmetry	P4/mmm, No. 123
crystal system	tetragonal
ρ	18.28	Mg/m³
ΔE_f (raw)	56.77	kJ per mole of atoms

---

# 10
This record from Alexandria describes a crystal of Re2IrSe relaxed with PBEsol. The functional is meta-GGA SCAN.

```
Re2IrSe
1.0
0.000 3.111 3.111
3.111 0.000 3.111
3.111 3.111 0.000
Re Ir Se
2 1 1
Cartesian
0.000 0.000 0.000
1.555 1.555 1.555
4.666 4.666 4.666
3.111 3.111 3.111
```

energy	-57.457	eV/atom
symmetry	F-43m, No. 216
crystal system	cubic
ρ	17.75	Mg/m³
ΔE_f (raw)	85.49	kJ per mole of atoms

---

# 11
This record from Alexandria describes a crystal of Re2SiIr relaxed with PBEsol. The functional is meta-GGA SCAN.

```
Re2SiIr
1.0
3.982 0.000 0.000
0.000 1.382 5.044
0.000 -1.382 5.044
Re Si Ir
2 1 1
Cartesian
0.000 0.000 0.000
1.991 0.000 3.731
0.000 0.000 7.652
1.991 0.000 6.376
```

energy	-56.042	eV/atom
symmetry	Amm2, No. 38
crystal system	orthorhombic
ρ	17.73	Mg/m³
ΔE_f (raw)	-20.73	kJ per mole of atoms

---

# 12
This record from Alexandria describes a crystal of Re2SiIr relaxed with PBEsol. The functional is meta-GGA SCAN.

```
Re2SiIr
1.0
1.371 0.792 8.516
-1.371 0.792 8.516
0.000 -1.583 8.516
Re Si Ir
2 1 1
Cartesian
0.000 0.000 6.310
0.000 0.000 19.239
0.000 0.000 12.774
0.000 0.000 0.000
```

energy	-55.898	eV/atom
symmetry	R-3m, No. 166
crystal system	trigonal
ρ	17.75	Mg/m³
ΔE_f (raw)	-6.76	kJ per mole of atoms

---

Among the records above, which one has the highest ΔE_f (raw)? number 1

---

What did the eighth record say?
This record from Alexandria describes a crystal of ReIr2Se relaxed with PBEsol. The functional is meta-GGA SCAN.

```
ReIr2Se
1.0
2.739 -3.867 0.000
2.739 3.867 0.000
0.000 0.000 2.787
Re Ir Se
1 2 1
Cartesian
0.000 0.000 0.000
1.369 1.934 1.393
1.369 -1.934 1.393
2.739 0.000 0.000
```

energy	-57.839	eV/atom
symmetry	Cmmm, No. 65
crystal system	orthorhombic
ρ	18.27	Mg/m³
ΔE_f (raw)	48.66	kJ per mole of atoms

---

Repeat the first record exactly.
This record from Alexandria describes a crystal of ReIrSe2 relaxed with PBEsol. The functional is meta-GGA SCAN.

```
ReIrSe2
1.0
-1.887 1.887 4.342
1.887 -1.887 4.342
1.887 1.887 -4.342
Re Ir Se
1 1 2
Cartesian
0.000 0.000 0.000
1.887 0.000 2.171
0.000 0.000 4.342
0.000 1.887 2.171
```

energy	-44.593	eV/atom
symmetry	I-4m2, No. 119
crystal system	tetragonal
ρ	14.40	Mg/m³
ΔE_f (raw)	96.00	kJ per mole of atoms

---

Which of these has the lowest ρ? number 2